Record 1
## Tl5C (GGA-PBE)

Data for Tl5C after structural relaxation.

Cell lengths 9.075, 9.075, 9.075 Å; angles 90.00, 90.00, 90.00 degrees
Space group F-43m (No. 216)
Asymmetric unit:
Tl 0.000 0.000 0.000 x4
Tl 0.124 0.124 0.624 x16
C 0.250 0.250 0.250 x4

energy of formation = 1167 meV/atom
crystal system = cubic
volume = 31.14 A^3/atom
density = 9.19 g/cm3

***

Record 2
## Cs4In (GGA-PBE)

Data for Cs4In after structural relaxation.

Cell lengths 7.771, 7.771, 7.771 Å; angles 90.00, 90.00, 90.00 degrees
Space group Pm-3m (No. 221)
Asymmetric unit:
Cs 0.000 0.000 0.000 x1
Cs 0.000 0.500 0.500 x3
In 0.500 0.500 0.500 x1

energy of formation = 75 meV/atom
crystal system = cubic
volume = 93.86 A^3/atom
density = 2.29 g/cm3

***

Record 3
## UAg2I6 (GGA-PBE)

Data for UAg2I6 after structural relaxation.

Cell lengths 7.7846, 7.7846, 22.6216 Å; angles 90.00, 90.00, 120.00 degrees
Space group R3 (No. 146, hexagonal axes)
Asymmetric unit:
U 0.0000 0.0000 0.0000 x3
Ag 0.0000 0.0000 0.2648 x3
Ag 0.0000 0.0000 0.3992 x3
I 0.0290 0.3491 0.7474 x9
I 0.0290 0.6818 0.5863 x9

VASP energy = -3.46 eV/atom
crystal system = trigonal
volume = 43.97 A^3/atom
density = 5.10 g/cm3

***

Record 4
## La4TlPt (GGA-PBE)

Data for La4TlPt after structural relaxation.

Cell lengths 9.668, 15.282, 7.414 Å; angles 90.00, 128.11, 90.00 degrees
Space group C2/c (No. 15)
Asymmetric unit:
La 0.172 0.223 0.182 x8
La 0.236 0.033 0.737 x8
Tl 0.000 0.376 0.750 x4
Pt 0.000 0.087 0.250 x4

energy of formation = -451 meV/atom
crystal system = monoclinic
volume = 35.91 A^3/atom
density = 7.36 g/cm3

***

Record 5
## SmTeP (GGA-PBE)

Data for SmTeP after structural relaxation.

Cell lengths 4.207, 4.001, 9.108 Å; angles 90.00, 93.53, 90.00 degrees
Space group P2_1/m (No. 11)
Asymmetric unit:
Sm 0.220 0.250 0.244 x2
Te 0.259 0.250 0.625 x2
P 0.344 0.750 0.989 x2

VASP energy = -5.54 eV/atom
crystal system = monoclinic
volume = 25.50 A^3/atom
density = 6.71 g/cm3

***

Record 6
## Y2PaN (GGA-PBE)

Data for Y2PaN after structural relaxation.

Cell lengths 3.3358, 3.3358, 28.1747 Å; angles 90.00, 90.00, 120.00 degrees
Space group R-3m (No. 166, hexagonal axes)
Asymmetric unit:
Y 0.0000 0.0000 0.1177 x6
Pa 0.0000 0.0000 0.0000 x3
N 0.0000 0.0000 0.5000 x3

VASP energy = -8.23 eV/atom
crystal system = trigonal
volume = 22.63 A^3/atom
density = 7.76 g/cm3

***

Record 7
## AcDy2Be (GGA-PBE)

Data for AcDy2Be after structural relaxation.

Cell lengths 3.547, 3.547, 9.023 Å; angles 90.00, 90.00, 90.00 degrees
Space group P4/mmm (No. 123)
Asymmetric unit:
Ac 0.000 0.000 0.000 x1
Dy 0.500 0.500 0.321 x2
Be 0.000 0.000 0.500 x1

energy of formation = 116 meV/atom
crystal system = tetragonal
volume = 28.39 A^3/atom
density = 8.20 g/cm3

***

Record 8
## Al4CuSi2 (GGA-PBE)

Data for Al4CuSi2 after structural relaxation.

Cell lengths 4.0004, 4.0004, 21.0902 Å; angles 90.00, 90.00, 120.00 degrees
Space group P-3m1 (No. 164)
Asymmetric unit:
Al 0.3333 0.6667 0.0401 x2
Al 0.3333 0.6667 0.3016 x2
Al 0.3333 0.6667 0.5428 x2
Al 0.3333 0.6667 0.8063 x2
Cu 0.3333 0.6667 0.9207 x2
Si 0.0000 0.0000 0.2503 x2
Si 0.3333 0.6667 0.4188 x2

VASP energy = -4.03 eV/atom
crystal system = trigonal
volume = 20.88 A^3/atom
density = 2.59 g/cm3

***

Record 9
## BaCu2NO (GGA-PBE)

Data for BaCu2NO after structural relaxation.

Cell lengths 3.772, 3.772, 6.195 Å; angles 90.00, 90.00, 90.00 degrees
Space group P4/mmm (No. 123)
Asymmetric unit:
Ba 0.000 0.000 0.000 x1
Cu 0.000 0.500 0.500 x2
N 0.500 0.500 0.000 x1
O 0.000 0.000 0.500 x1

VASP energy = -4.72 eV/atom
crystal system = tetragonal
volume = 17.63 A^3/atom
density = 5.55 g/cm3

***

Record 10
## TbHoCd17 (GGA-PBE)

Data for TbHoCd17 after structural relaxation.

Cell lengths 10.0420, 10.0420, 15.0123 Å; angles 90.00, 90.00, 120.00 degrees
Space group R3m (No. 160, hexagonal axes)
Asymmetric unit:
Tb 0.0000 0.0000 0.0000 x3
Ho 0.0000 0.0000 0.3488 x3
Cd 0.0000 0.0000 0.5848 x3
Cd 0.0000 0.0000 0.7773 x3
Cd 0.0014 0.3080 0.6765 x18
Cd 0.0264 0.5132 0.5300 x9
Cd 0.0355 0.5177 0.1699 x9
Cd 0.0686 0.5343 0.8315 x9

energy of formation = -100 meV/atom
crystal system = trigonal
volume = 23.00 A^3/atom
density = 8.49 g/cm3

***

Record 11
## Nd2MnSn (GGA-PBE)

Data for Nd2MnSn after structural relaxation.

Cell lengths 3.3683, 3.3683, 34.2852 Å; angles 90.00, 90.00, 120.00 degrees
Space group R-3m (No. 166, hexagonal axes)
Asymmetric unit:
Nd 0.0000 0.0000 0.0865 x6
Mn 0.0000 0.0000 0.0000 x3
Sn 0.0000 0.0000 0.5000 x3

energy of formation = 323 meV/atom
crystal system = trigonal
volume = 28.07 A^3/atom
density = 6.83 g/cm3

***

Record 12
## Sr2Ca2Tl (GGA-PBE)

Data for Sr2Ca2Tl after structural relaxation.

Cell lengths 8.612, 8.612, 6.174 Å; angles 90.00, 90.00, 90.00 degrees
Space group P4/mbm (No. 127)
Asymmetric unit:
Sr 0.153 0.347 0.000 x4
Ca 0.165 0.665 0.500 x4
Tl 0.000 0.000 0.000 x2

energy of formation = 66 meV/atom
crystal system = tetragonal
volume = 45.79 A^3/atom
density = 3.33 g/cm3

***

volume of number 6 (Y2PaN)?
22.63 A^3/atom

***

What did the seventh record say?
## AcDy2Be (GGA-PBE)

Data for AcDy2Be after structural relaxation.

Cell lengths 3.547, 3.547, 9.023 Å; angles 90.00, 90.00, 90.00 degrees
Space group P4/mmm (No. 123)
Asymmetric unit:
Ac 0.000 0.000 0.000 x1
Dy 0.500 0.500 0.321 x2
Be 0.000 0.000 0.500 x1

energy of formation = 116 meV/atom
crystal system = tetragonal
volume = 28.39 A^3/atom
density = 8.20 g/cm3

***

Look up the density of the seventh one.
8.20 g/cm3